A plane-wave DFT calculation with PBE was carried out for a relaxed BaH2Au crystal.

The magnetic moment is 0.00 μB/f.u. The total energy is -3.390 eV per atom. Its distance to the lowest polymorph of the same formula is 0.028 eV/atom.

The space group is Pnma (No. 62) and the conventional cell measures 13.893, 4.765 and 5.099 Å, with angles of 90.00, 90.00 and 90.00 degrees. The inequivalent atoms are Ba at (0.127, 0.250, 0.188), H at (0.061, 0.750, 0.970), H at (0.192, 0.750, 0.419) and Au at (0.120, 0.750, 0.683).

A plane-wave DFT calculation with PBE was carried out for a relaxed BaH4Au crystal.

The magnetic moment is 0.00 μB/f.u. The total energy is -3.355 eV per atom.

The space group is C2/m (No. 12) and the conventional cell measures 9.015, 4.557 and 5.250 Å, with angles of 90.00, 125.46 and 90.00 degrees. The inequivalent atoms are Ba at (0.000, 0.000, 0.000), H at (0.160, 0.500, 0.426), H at (0.160, 0.500, 0.893) and Au at (0.000, 0.500, 0.500).

A plane-wave DFT calculation with PBE was carried out for a relaxed Ba6H2Au crystal.

The magnetic moment is 0.00 μB/f.u. The total energy is -2.639 eV per atom. Its distance to the lowest polymorph of the same formula is 0.071 eV/atom.

The space group is P2_1/c (No. 14) and the conventional cell measures 7.865, 8.100 and 14.085 Å, with angles of 90.00, 119.26 and 90.00 degrees. The inequivalent atoms are Ba at (0.095, 0.066, 0.263), Ba at (0.210, 0.673, 0.069), Ba at (0.382, 0.188, 0.090), H at (0.101, 0.137, 0.630) and Au at (0.500, 0.000, 0.500).

Repeat the second record exactly.
A plane-wave DFT calculation with PBE was carried out for a relaxed BaH4Au crystal.

The magnetic moment is 0.00 μB/f.u. The total energy is -3.355 eV per atom.

The space group is C2/m (No. 12) and the conventional cell measures 9.015, 4.557 and 5.250 Å, with angles of 90.00, 125.46 and 90.00 degrees. The inequivalent atoms are Ba at (0.000, 0.000, 0.000), H at (0.160, 0.500, 0.426), H at (0.160, 0.500, 0.893) and Au at (0.000, 0.500, 0.500).